i) Computed, not measured: CuOsAu after structural relaxation at the GGA-PBE level of DFT.

POSCAR file:
```
CuOsAu
1.0
-2.982 -1.172 -2.626
-0.028 -3.855 -1.515
-2.904 -2.687 1.228
Au Cu Os
1 1 1
Cartesian
-2.957 -3.857 -1.457
-4.435 -5.786 -2.185
0.000 0.000 0.000
```

Computed properties:
- N(E_F): 1.534 states/eV per cell
- Space group: F-43m

=====

ii) Computed, not measured: CuOsAu after structural relaxation at the GGA-PBE level of DFT.

POSCAR file:
```
CuOsAu
1.0
-0.703 0.452 -2.627
-1.932 0.014 1.966
0.953 6.658 0.890
Au Cu Os
1 1 1
Cartesian
0.009 0.065 0.009
-0.788 2.580 -0.792
-0.905 4.479 1.012
```

Computed properties:
- N(E_F): 2.746 states/eV per cell
- Space group: P3m1

=====

iii) Computed, not measured: CuOsAu after structural relaxation at the GGA-PBE level of DFT.

POSCAR file:
```
CuOsAu
1.0
6.390 0.028 0.000
5.229 3.672 0.000
-5.809 -1.850 1.912
Au Cu Os
1 1 1
Cartesian
11.572 3.685 0.000
3.805 1.212 0.000
7.861 2.503 0.000
```

Computed properties:
- N(E_F): 3.100 states/eV per cell
- Space group: I4mm

=====

iv) Computed, not measured: CuOsAu after structural relaxation at the GGA-PBE level of DFT.

POSCAR file:
```
CuOsAu
1.0
-3.843 -2.191 -2.317
-3.998 -1.870 2.336
2.946 3.907 -0.995
Au Cu Os
1 1 1
Cartesian
-7.814 -4.047 0.019
-2.548 -1.320 0.006
-5.320 -2.755 0.013
```

Computed properties:
- N(E_F): 3.879 states/eV per cell
- Space group: Imm2

=====

So which one wins? Going from most stable to least: ii), iii), iv), i).

=====

i) Computed, not measured: Cu3OsAu after structural relaxation at the GGA-PBE level of DFT.

POSCAR file:
```
Cu3OsAu
1.0
-1.210 3.812 2.336
-3.198 0.952 -3.212
-3.124 -2.452 2.384
Os Au Cu
1 1 3
Cartesian
-3.766 1.156 0.754
0.000 0.000 0.000
-1.599 0.476 -1.606
-1.562 -1.226 1.192
-0.605 1.906 1.168
```

Computed properties:
- N(E_F): 6.321 states/eV per cell
- Space group: Pm-3m

=====

ii) Computed, not measured: Cu3OsAu after structural relaxation at the GGA-PBE level of DFT.

POSCAR file:
```
Cu3OsAu
1.0
4.633 0.000 0.000
0.000 4.633 0.000
0.000 0.000 4.633
Os Au Cu
1 1 3
Cartesian
0.000 0.000 0.000
2.317 2.317 2.317
0.000 2.317 0.000
0.000 0.000 2.317
2.317 0.000 0.000
```

Computed properties:
- N(E_F): 3.641 states/eV per cell
- Space group: Pm-3m

=====

So which one wins? Going from most stable to least: ii), i).

=====

i) Computed, not measured: CuP2Au after structural relaxation at the GGA-PBE level of DFT.

POSCAR file:
```
CuP2Au
1.0
-2.570 -1.665 -0.109
1.598 -2.398 -1.042
1.102 -2.134 6.606
Au Cu P
1 1 2
Cartesian
0.614 -1.188 3.678
0.385 -3.719 4.647
0.010 -0.019 0.057
-0.327 -2.339 0.376
```

Computed properties:
- N(E_F): 1.340 states/eV per cell
- Space group: P4mm

=====

ii) Computed, not measured: CuP2Au after structural relaxation at the GGA-PBE level of DFT.

POSCAR file:
```
CuP2Au
1.0
4.325 0.000 0.000
0.000 3.370 -0.051
0.000 -0.321 4.555
Au Cu P
1 1 2
Cartesian
2.163 0.762 1.126
2.163 2.287 3.378
0.000 -0.201 4.194
0.000 1.405 2.612
```

Computed properties:
- N(E_F): 1.090 states/eV per cell
- Space group: P2/m

=====

So which one wins? Going from most stable to least: ii), i).